(1)
Crystalline La4SiRuBr2 at its relaxed geometry. Source: the Alexandria database, functional PBE.

Cell lengths 7.5643, 4.2337, 8.0388 Å; angles 90.00, 106.75, 90.00 degrees
Space group P2/m (No. 10)
Inequivalent atoms, fractional coordinates:
La 0.2260 0.0000 0.2024 (multiplicity 2)
La 0.2443 0.5000 0.8032 (multiplicity 2)
Si 0.5000 0.0000 0.0000 (multiplicity 1)
Ru 0.0000 0.5000 0.0000 (multiplicity 1)
Br 0.0000 0.0000 0.5000 (multiplicity 1)
Br 0.5000 0.5000 0.5000 (multiplicity 1)

**Size of the total moment**: 0.000 μB/atom
**Uncorrected formation energy**: -1.020 eV per atom
**Crystal system**: monoclinic

***

(2)
Crystalline BiPb2Au2 at its relaxed geometry. Source: the Alexandria database, functional PBE.

Cell lengths 12.7078, 4.5662, 10.9417 Å; angles 90.00, 122.36, 90.00 degrees
Space group C2/m (No. 12)
Inequivalent atoms, fractional coordinates:
Bi 0.1979 0.0000 0.3475 (multiplicity 4)
Pb 0.0286 0.5000 0.6832 (multiplicity 4)
Pb 0.2023 0.5000 0.0918 (multiplicity 4)
Au 0.0544 0.0000 0.9128 (multiplicity 4)
Au 0.1307 0.0000 0.5762 (multiplicity 4)

**Size of the total moment**: 0.000 μB/atom
**ΔE to the lowest computed polymorph**: 11.1 meV/atom
**Crystal system**: monoclinic
**Formation energy**: -0.3 eV per formula unit

***

(3)
Crystalline Ca2La2Pm at its relaxed geometry. Source: the Alexandria database, functional PBE.

Cell lengths 6.5075, 3.7552, 15.7205 Å; angles 90.00, 90.05, 90.00 degrees
Space group C2/m (No. 12)
Inequivalent atoms, fractional coordinates:
Ca 0.1662 0.0000 0.3957 (multiplicity 4)
La 0.1655 0.0000 0.8125 (multiplicity 4)
Pm 0.0000 0.5000 0.0000 (multiplicity 2)

**Size of the total moment**: 0.000 μB/atom
**ΔE to the lowest computed polymorph**: 0.0 meV/atom
**Crystal system**: monoclinic
**Formation energy**: 0.1 eV per formula unit

***

(4)
Crystalline ReP2Pb at its relaxed geometry. Source: the Alexandria database, functional PBE.

Cell lengths 3.3521, 4.1435, 5.1816 Å; angles 90.00, 90.00, 90.00 degrees
Space group Pmmm (No. 47)
Inequivalent atoms, fractional coordinates:
Re 0.0000 0.0000 0.0000 (multiplicity 1)
P 0.0000 0.5000 0.5000 (multiplicity 1)
P 0.5000 0.5000 0.0000 (multiplicity 1)
Pb 0.5000 0.0000 0.5000 (multiplicity 1)

**Size of the total moment**: 0.000 μB/atom
**Crystal system**: orthorhombic
**Formation energy**: 4.2 eV per formula unit

***

(5)
Crystalline Ti6In2H at its relaxed geometry. Source: the Alexandria database, functional PBE.

Cell lengths 8.3267, 8.3267, 8.3267 Å; angles 90.00, 90.00, 90.00 degrees
Space group Fm-3m (No. 225)
Inequivalent atoms, fractional coordinates:
Ti 0.0000 0.0000 0.2493 (multiplicity 24)
In 0.2500 0.2500 0.2500 (multiplicity 8)
H 0.0000 0.0000 0.5000 (multiplicity 4)

**Size of the total moment**: 0.000 μB/atom
**Crystal system**: cubic
**E**: -6.462 eV per atom

***

(6)
Crystalline NaNdEr2Hg4 at its relaxed geometry. Source: the Alexandria database, functional PBE.

Cell lengths 5.2013, 5.2013, 26.3070 Å; angles 90.00, 90.00, 120.00 degrees
Space group R-3m (No. 166, hexagonal axes)
Inequivalent atoms, fractional coordinates:
Na 0.0000 0.0000 0.0000 (multiplicity 3)
Nd 0.0000 0.0000 0.5000 (multiplicity 3)
Er 0.0000 0.0000 0.2553 (multiplicity 6)
Hg 0.0000 0.0000 0.1202 (multiplicity 6)
Hg 0.0000 0.0000 0.3743 (multiplicity 6)

**Size of the total moment**: 0.000 μB/atom
**Crystal system**: trigonal
**Formation energy**: -3.2 eV per formula unit